(1)
Entry from the Alexandria database: a relaxed structure of TiTcOs2 (PBE). Values from VASP.

Output
- ΔE_f: 27 meV per atom
- Energy relative to the lowest polymorph listed for this composition: 0.00 eV/f.u.
- VASP energy: -40.6 eV/cell

The structure in Quantum ESPRESSO input format:
```
&SYSTEM
  ibrav = 0, nat = 4, ntyp = 3
/
ATOMIC_SPECIES
Os 190.23 Os.upf
Ti 47.87 Ti.upf
Tc 98.00 Tc.upf
ATOMIC_POSITIONS angstrom
Os -0.3632 -2.2907 1.3404
Os -1.0896 -6.8720 4.0211
Ti 0.0000 0.0000 0.0000
Tc -0.7264 -4.5814 2.6807
CELL_PARAMETERS angstrom
1.1193 -4.2228 0.2246
0.3775 -1.9586 3.8932
-2.9496 -2.9814 1.2437
```

---

(2)
Entry from the Alexandria database: a relaxed structure of Ti5Tc6Os (PBE). Values from VASP.

Output
- ΔE_f: -439 meV per atom
- VASP energy: -118.2 eV/cell

The structure in Quantum ESPRESSO input format:
```
&SYSTEM
  ibrav = 0, nat = 12, ntyp = 3
/
ATOMIC_SPECIES
Os 190.23 Os.upf
Tc 98.00 Tc.upf
Ti 47.87 Ti.upf
ATOMIC_POSITIONS angstrom
Os 0.0000 0.0000 0.0000
Tc -6.0164 -0.9264 2.9567
Tc -3.0672 -1.5505 3.8049
Tc -4.9793 1.0657 0.8164
Tc -2.9404 -3.8378 1.7401
Tc -1.9020 -1.8433 -0.4028
Tc -2.0301 0.4416 1.6645
Ti -1.0345 -1.9871 2.1350
Ti -3.9479 -1.3960 1.2735
Ti -5.1241 -1.0846 5.4789
Ti -2.9223 0.5999 -0.8576
Ti -4.0985 0.9112 3.3478
CELL_PARAMETERS angstrom
-2.7734 -1.7069 -2.9326
-2.0690 -3.9742 4.2699
-3.2041 5.1964 3.2839
```

---

Among the records above, which one has the highest ΔE_f? TiTcOs2

---

The lowest VASP energy belongs to which entry? Ti5Tc6Os

---

What is the formula in the second record? Ti5Tc6Os

---

What is the formula in the first record? TiTcOs2